Material: BiP2NF
Method: DFT, PBE
State: optimized geometry

```
data_BiP2NF
_chemical_formula_sum 'Bi1 P2 N1 F1'
_symmetry_space_group_name_H-M 'P 4/m m m'
_symmetry_Int_Tables_number 123
_symmetry_space_group_name_Hall '-P 4 2'
_cell_length_a 5.430
_cell_length_b 5.430
_cell_length_c 4.524
_cell_angle_alpha 90.00
_cell_angle_beta 90.00
_cell_angle_gamma 90.00
loop_
_atom_site_label
_atom_site_type_symbol
_atom_site_fract_x
_atom_site_fract_y
_atom_site_fract_z
Bi1 Bi 0.000 0.000 0.000
P1 P 0.000 0.500 0.000
N1 N 0.000 0.000 0.500
F1 F 0.500 0.500 0.500
```

Summary:
- formation energy (no corrections) (eV per atom) = 1.553
- M_tot (μB per cell) = 1.54
- electronic total energy (eV/atom) = -3.43
- DOS(E_F) (states/eV/f.u.) = 3.24

Material: Re2CI
Method: DFT, PBE
State: optimized geometry

```
data_Re2CI
_chemical_formula_sum 'Re8 C4 I4'
_symmetry_space_group_name_H-M 'F m -3 m'
_symmetry_Int_Tables_number 225
_symmetry_space_group_name_Hall '-F 4 2 3'
_cell_length_a 6.138
_cell_length_b 6.138
_cell_length_c 6.138
_cell_angle_alpha 90.00
_cell_angle_beta 90.00
_cell_angle_gamma 90.00
loop_
_atom_site_label
_atom_site_type_symbol
_atom_site_fract_x
_atom_site_fract_y
_atom_site_fract_z
Re1 Re 0.250 0.250 0.250
C1 C 0.000 0.000 0.000
I1 I 0.000 0.000 0.500
```

Summary:
- formation energy (no corrections) (eV per atom) = 2.041
- M_tot (μB per cell) = 0.00
- electronic total energy (eV/atom) = -6.88
- DOS(E_F) (states/eV/f.u.) = 2.53
- E above lowest polymorph (eV/f.u.) = 3.48

Material: Na3Pd2Pb5
Method: DFT, PBE
State: optimized geometry

```
data_Na3Pd2Pb5
_chemical_formula_sum 'Na6 Pd4 Pb10'
_symmetry_space_group_name_H-M 'P 4/m b m'
_symmetry_Int_Tables_number 127
_symmetry_space_group_name_Hall '-P 4 2ab'
_cell_length_a 11.366
_cell_length_b 11.366
_cell_length_c 4.121
_cell_angle_alpha 90.00
_cell_angle_beta 90.00
_cell_angle_gamma 90.00
loop_
_atom_site_label
_atom_site_type_symbol
_atom_site_fract_x
_atom_site_fract_y
_atom_site_fract_z
Na1 Na 0.000 0.000 0.000
Na2 Na 0.171 0.329 0.000
Pd1 Pd 0.128 0.628 0.000
Pb1 Pb 0.000 0.500 0.500
Pb2 Pb 0.073 0.791 0.500
```

Summary:
- M_tot (μB per cell) = 0.00
- electronic total energy (eV/atom) = -3.49
- ΔE_f (kcal/mol of atoms) = -4.61
- DOS(E_F) (states/eV/f.u.) = 4.47

Material: CsThTe3Au
Method: DFT, PBE
State: optimized geometry

```
data_CsThTe3Au
_chemical_formula_sum 'Cs2 Th2 Te6 Au2'
_symmetry_space_group_name_H-M 'P 1 21/m 1'
_symmetry_Int_Tables_number 11
_cell_length_a 9.998
_cell_length_b 4.586
_cell_length_c 11.192
_cell_angle_alpha 90.00
_cell_angle_beta 110.42
_cell_angle_gamma 90.00
loop_
_symmetry_equiv_pos_as_xyz
'x,y,z'
'-x,-y,-z'
'-x,y+1/2,-z'
'x,-y+1/2,z'
loop_
_atom_site_label
_atom_site_type_symbol
_atom_site_fract_x
_atom_site_fract_y
_atom_site_fract_z
Cs1 Cs 0.222 0.250 0.270
Th1 Th 0.310 0.750 0.840
Te1 Te 0.112 0.250 0.880
Te2 Te 0.209 0.750 0.545
Te3 Te 0.462 0.750 0.145
Au1 Au 0.118 0.250 0.636
```

Summary:
- formation energy (no corrections) (eV per atom) = -1.003
- M_tot (μB per cell) = 0.00
- electronic total energy (eV/atom) = -4.50

> Number 2 is which compound?

Re2CI

> Number 4 is which compound?

CsThTe3Au

Repeat the third record exactly.
Material: Na3Pd2Pb5
Method: DFT, PBE
State: optimized geometry

```
data_Na3Pd2Pb5
_chemical_formula_sum 'Na6 Pd4 Pb10'
_symmetry_space_group_name_H-M 'P 4/m b m'
_symmetry_Int_Tables_number 127
_symmetry_space_group_name_Hall '-P 4 2ab'
_cell_length_a 11.366
_cell_length_b 11.366
_cell_length_c 4.121
_cell_angle_alpha 90.00
_cell_angle_beta 90.00
_cell_angle_gamma 90.00
loop_
_atom_site_label
_atom_site_type_symbol
_atom_site_fract_x
_atom_site_fract_y
_atom_site_fract_z
Na1 Na 0.000 0.000 0.000
Na2 Na 0.171 0.329 0.000
Pd1 Pd 0.128 0.628 0.000
Pb1 Pb 0.000 0.500 0.500
Pb2 Pb 0.073 0.791 0.500
```

Summary:
- M_tot (μB per cell) = 0.00
- electronic total energy (eV/atom) = -3.49
- ΔE_f (kcal/mol of atoms) = -4.61
- DOS(E_F) (states/eV/f.u.) = 4.47